DFT (PBE-GGA) results for an optimized crystal structure of CsCu2F5.

Energy = -4.024 eV/atom
Symmetry = No. 14

a = 7.028 Å, b = 7.293 Å, c = 10.356 Å
α = 90.00°, β = 121.14°, γ = 90.00°
Atoms (fractional coordinates):
Cs1 0.128 0.019 0.388
Cs2 0.128 0.481 0.888
Cs3 0.872 0.519 0.112
Cs4 0.872 0.981 0.612
Cu1 0.000 0.000 0.000
Cu2 0.000 0.500 0.500
Cu3 0.496 0.245 0.753
Cu4 0.496 0.255 0.253
Cu5 0.500 0.000 0.000
Cu6 0.500 0.500 0.500
Cu7 0.504 0.745 0.747
Cu8 0.504 0.755 0.247
F1 0.187 0.201 0.150
F2 0.187 0.299 0.650
F3 0.195 0.021 0.922
F4 0.195 0.479 0.422
F5 0.199 0.685 0.654
F6 0.199 0.815 0.154
F7 0.416 0.506 0.233
F8 0.416 0.994 0.733
F9 0.482 0.745 0.010
F10 0.482 0.755 0.510
F11 0.518 0.245 0.490
F12 0.518 0.255 0.990
F13 0.584 0.006 0.267
F14 0.584 0.494 0.767
F15 0.801 0.185 0.846
F16 0.801 0.315 0.346
F17 0.805 0.521 0.578
F18 0.805 0.979 0.078
F19 0.813 0.701 0.350
F20 0.813 0.799 0.850

---

DFT (PBE-GGA) results for an optimized crystal structure of SrReAsO.

Energy = -6.896 eV/atom
Symmetry = No. 129

a = 3.939 Å, b = 3.939 Å, c = 10.093 Å
α = 90.00°, β = 90.00°, γ = 90.00°
Atoms (fractional coordinates):
Sr1 0.250 0.250 0.128
Sr2 0.750 0.750 0.872
Re1 0.250 0.750 0.500
Re2 0.750 0.250 0.500
As1 0.250 0.250 0.662
As2 0.750 0.750 0.338
O1 0.250 0.750 0.000
O2 0.750 0.250 0.000

---

DFT (PBE-GGA) results for an optimized crystal structure of ZrAlAsO.

Energy = -6.612 eV/atom
Symmetry = No. 129

a = 3.871 Å, b = 3.871 Å, c = 9.858 Å
α = 90.00°, β = 90.00°, γ = 90.00°
Atoms (fractional coordinates):
Zr1 0.250 0.750 0.000
Zr2 0.750 0.250 0.000
Al1 0.250 0.250 0.438
Al2 0.750 0.750 0.562
As1 0.250 0.250 0.197
As2 0.750 0.750 0.803
O1 0.250 0.750 0.500
O2 0.750 0.250 0.500

---

DFT (PBE-GGA) results for an optimized crystal structure of GaAgSeS.

Energy = -3.848 eV/atom
Symmetry = No. 24

a = 6.856 Å, b = 6.856 Å, c = 6.856 Å
α = 129.51°, β = 128.23°, γ = 75.23°
Atoms (fractional coordinates):
Ga1 0.129 0.379 0.750
Ga2 0.371 0.121 0.250
Ag1 0.640 0.890 0.750
Ag2 0.860 0.610 0.250
Se1 0.250 0.477 0.227
Se2 0.750 0.023 0.273
S1 0.042 0.750 0.792
S2 0.458 0.250 0.708